## Ca2Tb2Mg15 (PBE)

Data for an optimized crystal structure of Ca2Tb2Mg15.

Unit cell a=10.5864 b=10.5864 c=15.5690 alpha=90.00 beta=90.00 gamma=120.00
Space group R-3m (No. 166, hexagonal axes)
Symmetry-distinct sites (fractional):
Ca1 0.0000 0.0000 0.1618 [6 per cell]
Tb1 0.0000 0.0000 0.4024 [6 per cell]
Mg1 0.0000 0.2969 0.5000 [18 per cell]
Mg2 0.0000 0.5000 0.0000 [9 per cell]
Mg3 0.0047 0.5023 0.6487 [18 per cell]

Results
E_tot in eV per atom: -1.96
D(E_F) in states/eV per atom: 0.785
Crystal system: trigonal
Energy of formation from the pure elements in eV per atom: -0.001